(1)
6
Lattice="-0.464 2.331 -0.664 -4.047 -1.734 1.327 2.412 1.824 4.720" Properties=species:S:1:pos:R:3 comment="meta-GGA SCAN BeCo5, single point on PBEsol structure" relative_energy_ev_per_atom=0.0686 m_tot_mub_per_fu=8.177 pbc="T T T"
Co -1.256 0.853 3.876
Co 1.011 1.049 2.977
Co -2.686 0.043 2.028
Co -0.874 1.584 1.588
Be -0.005 0.009 0.033
Co 0.194 2.634 4.530



(2)
9
Lattice="3.425 0.000 0.000 1.713 5.136 0.000 1.713 0.000 5.136" Properties=species:S:1:pos:R:3 comment="meta-GGA SCAN BeCo8, single point on PBEsol structure" m_tot_mub_per_fu=13.828 pbc="T T T"
Co 3.425 3.431 0.000
Co 3.425 1.715 1.715
Co 3.425 3.422 3.422
Co 3.425 0.000 3.431
Co 1.713 3.422 1.715
Be 0.000 0.000 0.000
Co 1.713 1.715 3.422
Co 1.713 1.705 0.000
Co 1.713 0.000 1.705



(3)
3
Lattice="2.400 0.000 0.000 1.200 3.657 0.010 1.200 1.574 3.301" Properties=species:S:1:pos:R:3 comment="meta-GGA SCAN BeCo2, single point on PBEsol structure" m_tot_mub_per_fu=3.146 pbc="T T T"
Co 1.200 1.644 1.041
Be 0.000 0.000 0.000
Co 3.600 3.586 2.270



(4)
6
Lattice="-1.530 0.927 1.709 -3.923 -1.042 -1.157 -1.710 -4.874 2.903" Properties=species:S:1:pos:R:3 comment="meta-GGA SCAN BeCo2, single point on PBEsol structure" m_tot_mub_per_fu=2.896 pbc="T T T"
Co -1.992 -2.191 1.196
Co -4.206 -1.405 0.578
Be -4.691 -5.000 2.094
Co -5.171 -2.797 2.259
Be -2.472 0.011 1.362
Co -2.957 -3.584 2.877



Number 1: formation enthalpy at 0 K 0.007 eV/atom, calculated total energy -15.14 eV per atom. Number 2: formation enthalpy at 0 K -0.013 eV/atom, calculated total energy -15.88 eV per atom. Number 3: formation enthalpy at 0 K 0.048 eV/atom, calculated total energy -12.94 eV per atom. Number 4: formation enthalpy at 0 K -0.090 eV/atom, calculated total energy -13.08 eV per atom.